The following is a DFT calculation (PBE) of a relaxed structure of Hf2BAs.

POSCAR file:
```
Hf2BAs
1.0
0.000 3.194 3.194
3.194 0.000 3.194
3.194 3.194 0.000
Hf As B
2 1 1
Cartesian
1.597 1.597 1.597
4.791 4.791 4.791
3.194 3.194 3.194
0.000 0.000 0.000
```

- Relative energy among the computed polymorphs: 805.0 meV per atom
- Space-group type: Fm-3m
- Formation enthalpy at 0 K: -0.029 eV/atom

The following is a DFT calculation (PBE) of a relaxed structure of Hf6BAs2.

POSCAR file:
```
Hf6BAs2
1.0
5.898 0.000 0.000
0.000 5.898 0.000
0.000 0.000 11.105
As Hf B
4 12 2
Cartesian
0.000 0.000 3.713
2.949 2.949 1.839
2.949 2.949 9.265
0.000 0.000 7.392
1.139 4.760 1.663
1.324 4.575 5.552
1.139 4.760 9.442
4.088 4.088 3.890
1.811 1.811 7.215
4.088 4.088 7.215
4.760 1.139 1.663
1.811 1.811 3.890
1.625 1.625 0.000
4.273 4.273 0.000
4.760 1.139 9.442
4.575 1.324 5.552
2.949 2.949 5.552
0.000 0.000 0.000
```

- Space-group type: P4_2/mnm
- Formation enthalpy at 0 K: -0.363 eV/atom

The following is a DFT calculation (PBE) of a relaxed structure of HfB3As.

POSCAR file:
```
HfB3As
1.0
-3.125 -0.533 2.514
-0.145 -3.915 -1.009
2.566 -0.869 3.005
B Hf As
3 1 1
Cartesian
1.283 -0.435 1.503
-1.563 -0.266 1.257
-0.072 -1.958 -0.505
-0.352 -2.659 2.255
0.000 0.000 0.000
```

- Relative energy among the computed polymorphs: 0.0 meV per atom
- Space-group type: Pm-3m
- Formation enthalpy at 0 K: 1.408 eV/atom

The following is a DFT calculation (PBE) of a relaxed structure of Hf2BAs.

POSCAR file:
```
Hf2BAs
1.0
-0.465 -6.182 2.675
2.730 -2.624 -5.590
3.869 -4.094 -0.266
Hf B As
4 2 2
Cartesian
1.034 -4.996 0.812
2.599 -3.656 -3.131
4.786 -10.683 -2.552
3.848 -6.466 -1.492
1.132 -4.403 -1.458
3.866 -5.561 -3.657
2.268 -7.340 0.476
0.000 0.000 0.000
```

- Relative energy among the computed polymorphs: 483.7 meV per atom
- Space-group type: I-42d
- Formation enthalpy at 0 K: -0.350 eV/atom

Question: Number 2 is which compound?
Answer: Hf6BAs2

Repeat the third record exactly.
The following is a DFT calculation (PBE) of a relaxed structure of HfB3As.

POSCAR file:
```
HfB3As
1.0
-3.125 -0.533 2.514
-0.145 -3.915 -1.009
2.566 -0.869 3.005
B Hf As
3 1 1
Cartesian
1.283 -0.435 1.503
-1.563 -0.266 1.257
-0.072 -1.958 -0.505
-0.352 -2.659 2.255
0.000 0.000 0.000
```

- Relative energy among the computed polymorphs: 0.0 meV per atom
- Space-group type: Pm-3m
- Formation enthalpy at 0 K: 1.408 eV/atom